The following is a PBE calculation of crystalline CrGa4 at its relaxed geometry, from Alexandria via LeMat-Bulk.

Results
E above lowest polymorph: 0.487 eV/atom
calculated volume: 109 Å³ per cell
crystal system: cubic
final energy: -20.104 eV for the cell shown

Cell: 4.773 4.773 4.773 Å, 90.00 90.00 90.00°
Fractional coordinates of all 5 atoms:
Ga1 0.500 0.000 0.500
Ga2 0.500 0.500 0.000
Ga3 0.000 0.500 0.500
Ga4 0.000 0.000 0.000
Cr1 0.500 0.500 0.500

---

The following is a PBE calculation of crystalline Li2ScPd2 at its relaxed geometry, from Alexandria via LeMat-Bulk.

Results
E above lowest polymorph: 0.170 eV/atom
calculated volume: 79 Å³ per cell
crystal system: tetragonal
final energy: -22.456 eV for the cell shown

Cell: 4.485 4.485 5.061 Å, 63.70 63.70 90.00°
Fractional coordinates of all 5 atoms:
Sc1 0.000 0.000 0.000
Li1 0.634 0.634 0.731
Li2 0.366 0.366 0.269
Pd1 0.250 0.750 0.500
Pd2 0.750 0.250 0.500

---

Formation energy from the elements (meV/atom)
325 -382